1.
Compound: La2In
Source: the Alexandria database
Functional: PBE-GGA
Structure: optimized geometry

Cell and atoms, written as POSCAR:
```
La2In
1.0
-2.1123 -1.8722 4.8836
-1.5096 -2.4519 -4.8504
5.4267 -4.5409 0.6064
In La
2 4
direct
0.3333 0.6667 0.2500
0.6667 0.3333 0.7500
0.0000 0.0000 0.0000
0.0000 0.0000 0.5000
0.3333 0.6667 0.7500
0.6667 0.3333 0.2500
```

Values from the calculation:
ΔH_f (0 K)   -364.6 meV per atom
DOS(E_F)   8.30 states/eV per cell
Size of the total moment   0.00 μB per formula unit



2.
Compound: La2In
Source: the Alexandria database
Functional: PBE-GGA
Structure: optimized geometry

Cell and atoms, written as POSCAR:
```
La2In
1.0
-2.3671 3.5209 -3.5064
0.7249 -4.6794 -5.1881
-9.1859 -3.9267 2.2582
La In
8 4
direct
0.7500 0.4785 0.7050
0.2500 0.0215 0.2050
0.7500 0.9785 0.7950
0.2500 0.5215 0.2950
0.7500 0.2928 0.0772
0.2500 0.2072 0.5772
0.7500 0.7928 0.4228
0.2500 0.7072 0.9228
0.7500 0.7757 0.1016
0.2500 0.7243 0.6016
0.7500 0.2757 0.3984
0.2500 0.2243 0.8984
```

Values from the calculation:
ΔH_f (0 K)   -373.4 meV per atom
DOS(E_F)   15.12 states/eV per cell
Size of the total moment   0.00 μB per formula unit



3.
Compound: La5In2
Source: the Alexandria database
Functional: PBE-GGA
Structure: optimized geometry

Cell and atoms, written as POSCAR:
```
La5In2
1.0
6.4276 0.0000 -2.7286
-1.5427 7.6327 -3.6339
0.2699 -0.2263 9.5705
La In
10 4
direct
0.0830 0.2455 0.1660
0.9170 0.7545 0.8340
0.5830 0.9205 0.1660
0.4170 0.0795 0.8340
0.4882 0.7382 0.4764
0.0118 0.2618 0.5236
0.5118 0.2618 0.5236
0.9882 0.7382 0.4764
0.7500 0.5000 0.0000
0.2500 0.5000 0.0000
0.3741 0.6431 0.7483
0.6259 0.3569 0.2517
0.8741 0.1052 0.7483
0.1259 0.8948 0.2517
```

Values from the calculation:
Offset from the most stable computed form   0.000 eV per atom
ΔH_f (0 K)   -300.4 meV per atom
DOS(E_F)   17.69 states/eV per cell
Size of the total moment   0.00 μB per formula unit



4.
Compound: La3In2
Source: the Alexandria database
Functional: PBE-GGA
Structure: optimized geometry

Cell and atoms, written as POSCAR:
```
La3In2
1.0
-0.8735 5.1350 -1.0176
-5.3613 2.2190 1.9597
1.4105 3.8823 4.5401
La In
3 2
direct
0.8083 0.1927 0.1908
0.0000 0.5000 0.5000
0.1917 0.8073 0.8092
0.4985 0.7999 0.2031
0.5015 0.2001 0.7969
```

Values from the calculation:
ΔH_f (0 K)   -420.1 meV per atom
DOS(E_F)   4.32 states/eV per cell
Size of the total moment   0.00 μB per formula unit



5.
Compound: La3In2
Source: the Alexandria database
Functional: PBE-GGA
Structure: optimized geometry

Cell and atoms, written as POSCAR:
```
La3In2
1.0
-4.5677 -6.7417 6.0797
-7.5517 -0.9083 4.6979
-2.2907 -5.7699 -2.5107
La In
6 4
direct
0.7291 0.4678 0.3738
0.4293 0.3738 0.4678
0.7822 0.5209 0.8207
0.8762 0.8207 0.5209
0.0815 0.9185 0.9185
0.3315 0.1685 0.1685
0.2022 0.8907 0.3492
0.5578 0.3492 0.8907
0.3593 0.0478 0.6922
0.9008 0.6922 0.0478
```

Values from the calculation:
ΔH_f (0 K)   -362.4 meV per atom
DOS(E_F)   11.28 states/eV per cell
Size of the total moment   0.00 μB per formula unit



6.
Compound: La4In
Source: the Alexandria database
Functional: PBE-GGA
Structure: optimized geometry

Cell and atoms, written as POSCAR:
```
La4In
1.0
-4.2805 -0.6231 -4.3429
2.6230 -5.5372 -1.7908
-6.6429 -0.7460 6.6546
La In
8 2
direct
0.3946 0.4351 0.3071
0.8946 0.5649 0.1929
0.6054 0.5649 0.6929
0.1054 0.4351 0.8071
0.9806 0.1694 0.3930
0.4806 0.8306 0.1070
0.0194 0.8306 0.6070
0.5194 0.1694 0.8930
0.0000 0.0000 0.0000
0.5000 0.0000 0.5000
```

Values from the calculation:
Offset from the most stable computed form   0.060 eV per atom
ΔH_f (0 K)   -180.8 meV per atom
DOS(E_F)   12.55 states/eV per cell
Size of the total moment   0.00 μB per formula unit



7.
Compound: La2In
Source: the Alexandria database
Functional: PBE-GGA
Structure: optimized geometry

Cell and atoms, written as POSCAR:
```
La2In
1.0
5.4770 0.0000 0.0000
0.0000 5.4770 0.0000
0.0000 0.0000 3.7892
In La
1 2
direct
0.0000 0.0000 0.0000
0.0000 0.5000 0.5000
0.5000 0.0000 0.5000
```

Values from the calculation:
ΔH_f (0 K)   -119.3 meV per atom
DOS(E_F)   4.89 states/eV per cell
Size of the total moment   0.24 μB per formula unit



8.
Compound: La5In
Source: the Alexandria database
Functional: PBE-GGA
Structure: optimized geometry

Cell and atoms, written as POSCAR:
```
La5In
1.0
6.7844 0.0031 0.0044
5.7287 3.6345 0.0044
2.3115 0.6720 8.4434
In La
1 5
direct
0.9984 0.9984 0.9984
0.6718 0.6718 0.6697
0.3425 0.3425 0.2975
0.3987 0.3987 0.7537
0.0527 0.0527 0.3947
0.7025 0.7025 0.0528
```

Values from the calculation:
Offset from the most stable computed form   0.016 eV per atom
ΔH_f (0 K)   -157.4 meV per atom
DOS(E_F)   8.79 states/eV per cell
Size of the total moment   0.00 μB per formula unit



9.
Compound: LaIn4
Source: the Alexandria database
Functional: PBE-GGA
Structure: optimized geometry

Cell and atoms, written as POSCAR:
```
LaIn4
1.0
-4.2729 -0.9944 2.1715
2.3936 -6.3615 1.7967
3.6936 6.6261 4.7851
La In
2 8
direct
0.8890 0.1390 0.7780
0.1110 0.8610 0.2220
0.1034 0.3534 0.2069
0.8966 0.6466 0.7931
0.5000 0.0000 0.0000
0.5000 0.5000 0.0000
0.6968 0.2216 0.3935
0.3032 0.7784 0.6065
0.3032 0.3280 0.6065
0.6968 0.6720 0.3935
```

Values from the calculation:
ΔH_f (0 K)   -365.4 meV per atom
DOS(E_F)   4.89 states/eV per cell
Size of the total moment   0.00 μB per formula unit



10.
Compound: LaIn2
Source: the Alexandria database
Functional: PBE-GGA
Structure: optimized geometry

Cell and atoms, written as POSCAR:
```
LaIn2
1.0
2.4753 -7.0825 0.0000
2.4753 7.0825 0.0000
0.0000 0.0000 4.9097
La In
2 4
direct
0.0964 0.9036 0.7500
0.9036 0.0964 0.2500
0.7483 0.2517 0.7500
0.4167 0.5833 0.7500
0.2517 0.7483 0.2500
0.5833 0.4167 0.2500
```

Values from the calculation:
ΔH_f (0 K)   -395.1 meV per atom
DOS(E_F)   5.36 states/eV per cell
Size of the total moment   0.00 μB per formula unit



11.
Compound: LaIn2
Source: the Alexandria database
Functional: PBE-GGA
Structure: optimized geometry

Cell and atoms, written as POSCAR:
```
LaIn2
1.0
3.2286 2.8698 3.7550
-2.8663 3.9094 3.0432
-0.0259 -5.5945 -1.2086
La In
1 2
direct
0.0000 0.0000 0.0000
0.6608 0.6608 0.0000
0.3392 0.3392 0.0000
```

Values from the calculation:
ΔH_f (0 K)   -257.1 meV per atom
DOS(E_F)   2.48 states/eV per cell
Size of the total moment   0.00 μB per formula unit



12.
Compound: LaIn2
Source: the Alexandria database
Functional: PBE-GGA
Structure: optimized geometry

Cell and atoms, written as POSCAR:
```
LaIn2
1.0
-0.2056 -4.0944 3.5906
4.6614 2.7152 -0.7725
-1.7220 4.3347 4.8443
In La
4 2
direct
0.0000 0.0000 0.0000
0.0000 0.0000 0.5000
0.3333 0.6667 0.2500
0.6667 0.3333 0.7500
0.6667 0.3333 0.2500
0.3333 0.6667 0.7500
```

Values from the calculation:
ΔH_f (0 K)   -432.2 meV per atom
DOS(E_F)   2.07 states/eV per cell
Size of the total moment   0.00 μB per formula unit